VASP calculation (GGA-PBE) on a geometry-optimized Ce3Zn2Ir3 structure.

Calculated values
- Formation energy: -0.5794 eV/atom
- Density of states at the Fermi level: 1.08 states/eV/atom
- E above lowest polymorph: 41 meV/atom
- Raw total energy: -6.45 eV per atom
- Total magnetic moment: 0.000 μB per cell

a = 8.1417 Å, b = 8.1417 Å, c = 5.6712 Å
α = 90.00°, β = 90.00°, γ = 120.00°
Space group P6_3/mcm (No. 193)
Inequivalent atoms, fractional coordinates:
Ce  0.0000  0.2726  0.2500 x6
Zn  0.3333  0.6667  0.0000 x4
Ir  0.0000  0.3876  0.7500 x6